No. 1
Material: Rb2AlI6N
Method: DFT, PBE
State: relaxed

Cell lengths 7.7955, 7.7955, 8.0286 Å; angles 60.96, 60.96, 90.00 degrees
With the nearest neighbours (Å) after each atom.
Element x y z (fractional)
I: 0.2283 0.2283 0.5433  1 Al 2.67
I: 0.7717 0.7717 0.4567  1 Al 2.67
I: 0.2683 0.2683 0.0000  1 N 2.55
I: 0.7317 0.7317 0.0000  1 N 2.55
I: 0.7317 0.2683 0.0000  1 N 2.55
I: 0.2683 0.7317 0.0000  1 N 2.55
Al: 0.0000 0.0000 0.0000  6 I 2.67-2.96
Rb: 0.7500 0.2500 0.5000  12 I 3.91-4.02
Rb: 0.2500 0.7500 0.5000  12 I 3.91-4.02
N: 0.5000 0.5000 0.0000  4 I 2.55

Summary:
The crystal system is tetragonal. For the raw formation energy, the calculation gives -0.297 eV/atom. The calculation puts the magnetization at 0.0 μB/f.u.

No. 2
Material: CeBiRhO6
Method: DFT, PBE
State: relaxed

Cell lengths 5.5455, 5.5455, 9.6904 Å; angles 90.00, 90.00, 120.00 degrees
With the nearest neighbours (Å) after each atom.
Element x y z (fractional)
Ce: 0.3333 0.6667 0.2500  6 O 2.25
Ce: 0.6667 0.3333 0.7500  6 O 2.25
Bi: 0.0000 0.0000 0.0000  6 O 2.34
Bi: 0.0000 0.0000 0.5000  6 O 2.34
Rh: 0.6667 0.3333 0.2500  6 O 2.01
Rh: 0.3333 0.6667 0.7500  6 O 2.01
O: 0.6656 0.6323 0.1339  1 Rh 2.01
O: 0.9667 0.3344 0.1339  1 Rh 2.01
O: 0.3344 0.9667 0.6339  1 Rh 2.01
O: 0.0333 0.6656 0.8661  1 Rh 2.01
O: 0.3677 0.3344 0.3661  1 Rh 2.01
O: 0.9667 0.6323 0.3661  1 Rh 2.01
O: 0.6323 0.9667 0.8661  1 Rh 2.01
O: 0.6656 0.0333 0.3661  1 Rh 2.01
O: 0.0333 0.3677 0.6339  1 Rh 2.01
O: 0.3677 0.0333 0.1339  1 Rh 2.01
O: 0.6323 0.6656 0.6339  1 Rh 2.01
O: 0.3344 0.3677 0.8661  1 Rh 2.01

Summary:
The crystal system is trigonal. For the raw formation energy, the calculation gives -1.610 eV/atom. The calculation puts the magnetization at 1.5 μB/f.u.

No. 3
Material: CdCuS2Cl
Method: DFT, PBE
State: relaxed

Cell lengths 4.6243, 4.6243, 4.6810 Å; angles 90.00, 90.00, 90.00 degrees
With the nearest neighbours (Å) after each atom.
Element x y z (fractional)
S: 0.0000 0.5000 0.0000  2 Cu 2.31
S: 0.5000 0.0000 0.0000  2 Cu 2.31
Cl: 0.0000 0.0000 0.5000  2 Cu 2.34
Cu: 0.0000 0.0000 0.0000  4 S 2.31, 2 Cl 2.34
Cd: 0.5000 0.5000 0.5000  4 Cl 3.27, 8 S 3.29

Summary:
The crystal system is tetragonal. For the raw formation energy, the calculation gives 0.148 eV/atom. The calculation puts the magnetization at 0.0 μB/f.u.

No. 4
Material: La15Mg2Cd2
Method: DFT, PBE
State: relaxed

Cell lengths 8.8766, 8.8766, 8.8766 Å; angles 75.58, 75.58, 75.58 degrees
With the nearest neighbours (Å) after each atom.
Element x y z (fractional)
La: 0.0000 0.5000 0.0000  2 Cd 3.48, 8 La 3.51-3.54
La: 0.0000 0.0000 0.5000  2 Cd 3.48, 8 La 3.51-3.54
La: 0.5000 0.0000 0.0000  2 Cd 3.48, 8 La 3.51-3.54
La: 0.2941 0.0000 0.7059  6 La 3.20-3.54
La: 0.7059 0.2941 0.0000  6 La 3.20-3.54
La: 0.0000 0.7059 0.2941  6 La 3.20-3.54
La: 0.2941 0.7059 0.0000  6 La 3.20-3.54
La: 0.0000 0.2941 0.7059  6 La 3.20-3.54
La: 0.7059 0.0000 0.2941  6 La 3.20-3.54
La: 0.4009 0.8189 0.4009  4 La 3.03-3.31
La: 0.4009 0.4009 0.8189  4 La 3.03-3.31
La: 0.8189 0.4009 0.4009  4 La 3.03-3.31
La: 0.5991 0.1811 0.5991  4 La 3.03-3.31
La: 0.5991 0.5991 0.1811  4 La 3.03-3.31
La: 0.1811 0.5991 0.5991  4 La 3.03-3.31
Mg: 0.6947 0.6947 0.6947  15 La 3.89-4.10, 1 Cd 4.11
Mg: 0.3053 0.3053 0.3053  15 La 3.89-4.10, 1 Cd 4.11
Cd: 0.9129 0.9129 0.9129  1 Cd 3.28, 9 La 3.48-3.59
Cd: 0.0871 0.0871 0.0871  1 Cd 3.28, 9 La 3.48-3.59

Summary:
The crystal system is trigonal. The calculation puts the magnetization at 0.0 μB/f.u. As for the calculated formation energy: 3.30 eV per formula unit.

Number 1: electronic total energy -26.27 eV per formula unit. Number 2: electronic total energy -61.40 eV per formula unit. Number 3: electronic total energy -14.37 eV per formula unit. Number 4: electronic total energy -75.63 eV per formula unit.